[1]
# Er2Ge2SbRh5

A geometry-optimized Er2Ge2SbRh5 structure (PBE-GGA, the Alexandria database).

a b c (Å): 3.661 9.741 9.741
angles (deg): 90.00 90.00 90.00
Element x y z (fractional)
Er (0.000, 0.175, 0.325)
Er (0.000, 0.675, 0.175)
Er (0.000, 0.825, 0.675)
Er (0.000, 0.325, 0.825)
Ge (0.000, 0.622, 0.878)
Ge (0.000, 0.878, 0.378)
Ge (0.000, 0.122, 0.622)
Ge (0.000, 0.378, 0.122)
Sb (0.000, 0.000, 0.000)
Sb (0.000, 0.500, 0.500)
Rh (0.500, 0.211, 0.069)
Rh (0.500, 0.711, 0.431)
Rh (0.500, 0.069, 0.789)
Rh (0.500, 0.431, 0.289)
Rh (0.500, 0.289, 0.569)
Rh (0.500, 0.569, 0.711)
Rh (0.500, 0.931, 0.211)
Rh (0.500, 0.500, 0.000)
Rh (0.500, 0.000, 0.500)
Rh (0.500, 0.789, 0.931)

Properties
* E_form (uncorrected): -0.80 eV/atom
* SG: P4/mbm, No. 127
* DOS(E_F): 0.602 states/eV per atom
* VASP energy: -6.73 eV per atom
* total moment: 0.00 μB/f.u.

---

[2]
# Cs2RbHg6Pt

A geometry-optimized Cs2RbHg6Pt structure (PBE-GGA, the Alexandria database).

a b c (Å): 7.130 7.719 7.719
angles (deg): 120.00 90.00 90.00
Element x y z (fractional)
Hg (0.844, 0.195, 0.805)
Hg (0.156, 0.391, 0.195)
Hg (0.156, 0.805, 0.609)
Hg (0.844, 0.195, 0.391)
Hg (0.844, 0.609, 0.805)
Hg (0.156, 0.805, 0.195)
Pt (0.000, 0.000, 0.000)
Cs (0.663, 0.667, 0.333)
Cs (0.337, 0.333, 0.667)
Rb (0.500, 0.000, 0.000)

Properties
* SG: P-3m1, No. 164
* DOS(E_F): 0.320 states/eV per atom
* VASP energy: -1.27 eV per atom
* total moment: 0.00 μB/f.u.

---

[3]
# Pr2SmYHo2

A geometry-optimized Pr2SmYHo2 structure (PBE-GGA, the Alexandria database).

a b c (Å): 5.706 7.095 9.876
angles (deg): 90.00 90.00 90.00
Element x y z (fractional)
Pr (0.500, 0.508, 0.000)
Pr (0.000, 0.758, 0.824)
Pr (0.000, 0.258, 0.176)
Pr (0.500, 0.008, 0.000)
Ho (0.500, 0.758, 0.668)
Ho (0.000, 0.258, 0.836)
Ho (0.000, 0.758, 0.164)
Ho (0.500, 0.258, 0.332)
Sm (0.500, 0.758, 0.340)
Sm (0.500, 0.258, 0.660)
Y (0.000, 0.508, 0.500)
Y (0.000, 0.008, 0.500)

Properties
* SG: Pmma, No. 51
* DOS(E_F): 1.598 states/eV per atom
* VASP energy: -4.92 eV per atom
* total moment: 0.00 μB/f.u.

---

[4]
# Nd4N2Cl3

A geometry-optimized Nd4N2Cl3 structure (PBE-GGA, the Alexandria database).

a b c (Å): 3.741 3.741 17.103
angles (deg): 90.05 89.95 120.00
Element x y z (fractional)
Nd (0.666, 0.334, 0.127)
Nd (0.999, 0.001, 0.284)
Nd (0.001, 0.999, 0.716)
Nd (0.334, 0.666, 0.873)
Cl (0.000, 0.000, 0.000)
Cl (0.666, 0.334, 0.393)
Cl (0.334, 0.666, 0.607)
N (0.667, 0.333, 0.797)
N (0.333, 0.667, 0.203)

Properties
* E_form (uncorrected): -1.71 eV/atom
* SG: C2/m, No. 12
* DOS(E_F): 0.302 states/eV per atom
* ΔE to the lowest computed polymorph: 0.000 eV/atom
* VASP energy: -6.30 eV per atom
* total moment: 0.00 μB/f.u.

---

[5]
# FeSbSe2

A geometry-optimized FeSbSe2 structure (PBE-GGA, the Alexandria database).

a b c (Å): 8.592 8.592 8.592
angles (deg): 23.49 23.49 23.49
Site moments in Bohr magnetons follow the coordinates.
Element x y z (fractional)
Sb (0.000, 0.000, 0.000)  -0.02
Se (0.884, 0.884, 0.884)  0.04
Se (0.116, 0.116, 0.116)  0.04
Fe (0.500, 0.500, 0.500)  0.99

Properties
* E_form (uncorrected): -0.11 eV/atom
* SG: R-3m, No. 166
* DOS(E_F): 1.051 states/eV per atom
* VASP energy: -5.00 eV per atom
* total moment: 1.06 μB/f.u.

---

[6]
# Ac6La2Nd

A geometry-optimized Ac6La2Nd structure (PBE-GGA, the Alexandria database).

a b c (Å): 3.916 3.916 29.095
angles (deg): 90.00 90.00 120.00
Element x y z (fractional)
Ac (0.333, 0.667, 0.435)
Ac (0.333, 0.667, 0.781)
Ac (0.333, 0.667, 0.219)
Ac (0.333, 0.667, 0.565)
Ac (0.667, 0.333, 0.106)
Ac (0.667, 0.333, 0.894)
La (0.667, 0.333, 0.329)
La (0.667, 0.333, 0.671)
Nd (0.333, 0.667, 0.000)

Properties
* SG: P-6m2, No. 187
* DOS(E_F): 2.064 states/eV per atom
* VASP energy: -4.29 eV per atom
* total moment: 0.00 μB/f.u.